1.
A plane-wave DFT calculation with PBE-GGA was carried out for crystalline Th2Zn3Rh at its relaxed geometry.

Cell: 3.6515 4.4715 7.8729 Å, 90.00 90.00 90.00°
Positions (direct):
Th (0.0000, 0.0000, 0.0000)
Th (0.0000, 0.5000, 0.4505)
Zn (0.5000, 0.0000, 0.6519)
Zn (0.5000, 0.5000, 0.1314)
Zn (0.5000, 0.5000, 0.8044)
Rh (0.5000, 0.0000, 0.3156)

Summary:
M_tot	0.00	μB per atom
formation energy from the elements	-466	meV per atom
calculated total energy	-4.801	eV/atom

***

2.
A plane-wave DFT calculation with PBE-GGA was carried out for crystalline Th2ZnRh at its relaxed geometry.

Cell: 6.1170 3.9294 8.6289 Å, 90.00 108.96 90.00°
Positions (direct):
Th (0.1972, 0.2500, 0.4079)
Th (0.2799, 0.7500, 0.0576)
Th (0.7201, 0.2500, 0.9424)
Th (0.8028, 0.7500, 0.5921)
Zn (0.3556, 0.7500, 0.7071)
Zn (0.6444, 0.2500, 0.2929)
Rh (0.1065, 0.2500, 0.8011)
Rh (0.8935, 0.7500, 0.1989)

Summary:
M_tot	0.00	μB per atom
formation energy from the elements	-529	meV per atom
calculated total energy	-6.395	eV/atom

***

3.
A plane-wave DFT calculation with PBE-GGA was carried out for crystalline Th4ZrRh15 at its relaxed geometry.

Cell: 4.0889 4.0889 20.6157 Å, 90.00 90.00 90.00°
Positions (direct):
Th (0.0000, 0.0000, 0.1017)
Th (0.0000, 0.0000, 0.3045)
Th (0.0000, 0.0000, 0.6955)
Th (0.0000, 0.0000, 0.8983)
Zr (0.0000, 0.0000, 0.5000)
Rh (0.0000, 0.5000, 0.0000)
Rh (0.0000, 0.5000, 0.2032)
Rh (0.0000, 0.5000, 0.4075)
Rh (0.0000, 0.5000, 0.5925)
Rh (0.0000, 0.5000, 0.7968)
Rh (0.5000, 0.0000, 0.0000)
Rh (0.5000, 0.0000, 0.2032)
Rh (0.5000, 0.0000, 0.4075)
Rh (0.5000, 0.0000, 0.5925)
Rh (0.5000, 0.0000, 0.7968)
Rh (0.5000, 0.5000, 0.1014)
Rh (0.5000, 0.5000, 0.3054)
Rh (0.5000, 0.5000, 0.5000)
Rh (0.5000, 0.5000, 0.6946)
Rh (0.5000, 0.5000, 0.8986)

Summary:
M_tot	0.00	μB per atom
formation energy from the elements	-701	meV per atom
calculated total energy	-8.126	eV/atom

***

4.
A plane-wave DFT calculation with PBE-GGA was carried out for crystalline ThZrRh2 at its relaxed geometry.

Cell: 3.3748 3.3748 7.0918 Å, 90.00 90.00 90.00°
Positions (direct):
Th (0.0000, 0.0000, 0.0000)
Zr (0.0000, 0.0000, 0.5000)
Rh (0.5000, 0.5000, 0.2848)
Rh (0.5000, 0.5000, 0.7152)

Summary:
M_tot	0.00	μB per atom
formation energy from the elements	-719	meV per atom
calculated total energy	-8.386	eV/atom

***

5.
A plane-wave DFT calculation with PBE-GGA was carried out for crystalline ThZrRh2 at its relaxed geometry.

Cell: 4.0513 4.0513 18.4990 Å, 90.00 90.00 120.00°
Positions (direct):
Th (0.0000, 0.0000, 0.0000)
Th (0.3333, 0.6667, 0.6667)
Th (0.6667, 0.3333, 0.3333)
Zr (0.0000, 0.0000, 0.5000)
Zr (0.3333, 0.6667, 0.1667)
Zr (0.6667, 0.3333, 0.8333)
Rh (0.0000, 0.0000, 0.2409)
Rh (0.0000, 0.0000, 0.7591)
Rh (0.3333, 0.6667, 0.4258)
Rh (0.3333, 0.6667, 0.9076)
Rh (0.6667, 0.3333, 0.0924)
Rh (0.6667, 0.3333, 0.5742)

Summary:
M_tot	0.00	μB per atom
formation energy from the elements	-714	meV per atom
calculated total energy	-8.382	eV/atom

***

6.
A plane-wave DFT calculation with PBE-GGA was carried out for crystalline Th2ZrRh at its relaxed geometry.

Cell: 3.5835 3.5835 30.0828 Å, 90.00 90.00 120.00°
Positions (direct):
Th (0.0000, 0.0000, 0.1013)
Th (0.0000, 0.0000, 0.8987)
Th (0.3333, 0.6667, 0.5654)
Th (0.3333, 0.6667, 0.7679)
Th (0.6667, 0.3333, 0.2321)
Th (0.6667, 0.3333, 0.4346)
Zr (0.0000, 0.0000, 0.0000)
Zr (0.3333, 0.6667, 0.6667)
Zr (0.6667, 0.3333, 0.3333)
Rh (0.0000, 0.0000, 0.5000)
Rh (0.3333, 0.6667, 0.1667)
Rh (0.6667, 0.3333, 0.8333)

Summary:
M_tot	0.18	μB per atom
formation energy from the elements	122	meV per atom
calculated total energy	-7.563	eV/atom

***

7.
A plane-wave DFT calculation with PBE-GGA was carried out for crystalline ThZrRh at its relaxed geometry.

Cell: 5.8948 4.2724 6.0195 Å, 90.00 90.00 90.00°
Positions (direct):
Th (0.2500, 0.0000, 0.1161)
Th (0.7500, 0.0000, 0.8839)
Zr (0.2500, 0.5000, 0.6518)
Zr (0.7500, 0.5000, 0.3482)
Rh (0.0000, 0.0000, 0.5000)
Rh (0.5000, 0.0000, 0.5000)

Summary:
M_tot	0.00	μB per atom
formation energy from the elements	-305	meV per atom
calculated total energy	-8.078	eV/atom

***

8.
A plane-wave DFT calculation with PBE-GGA was carried out for crystalline ThZrRh6 at its relaxed geometry.

Cell: 6.6891 6.6891 6.9715 Å, 92.02 92.02 117.78°
Positions (direct):
Th (0.0000, 0.5000, 0.0000)
Th (0.5000, 0.0000, 0.0000)
Zr (0.0000, 0.5000, 0.5000)
Zr (0.5000, 0.0000, 0.5000)
Rh (0.0832, 0.8552, 0.2952)
Rh (0.1448, 0.9168, 0.7048)
Rh (0.2019, 0.2019, 0.0429)
Rh (0.2955, 0.2955, 0.4447)
Rh (0.3413, 0.5716, 0.7724)
Rh (0.4284, 0.6587, 0.2276)
Rh (0.5716, 0.3413, 0.7724)
Rh (0.6587, 0.4284, 0.2276)
Rh (0.7045, 0.7045, 0.5553)
Rh (0.7981, 0.7981, 0.9571)
Rh (0.8552, 0.0832, 0.2952)
Rh (0.9168, 0.1448, 0.7048)

Summary:
M_tot	0.00	μB per atom
formation energy from the elements	-429	meV per atom
calculated total energy	-7.938	eV/atom

***

- What is the formula in the sixth record?
  Th2ZrRh

***

What did the eighth record say?
A plane-wave DFT calculation with PBE-GGA was carried out for crystalline ThZrRh6 at its relaxed geometry.

Cell: 6.6891 6.6891 6.9715 Å, 92.02 92.02 117.78°
Positions (direct):
Th (0.0000, 0.5000, 0.0000)
Th (0.5000, 0.0000, 0.0000)
Zr (0.0000, 0.5000, 0.5000)
Zr (0.5000, 0.0000, 0.5000)
Rh (0.0832, 0.8552, 0.2952)
Rh (0.1448, 0.9168, 0.7048)
Rh (0.2019, 0.2019, 0.0429)
Rh (0.2955, 0.2955, 0.4447)
Rh (0.3413, 0.5716, 0.7724)
Rh (0.4284, 0.6587, 0.2276)
Rh (0.5716, 0.3413, 0.7724)
Rh (0.6587, 0.4284, 0.2276)
Rh (0.7045, 0.7045, 0.5553)
Rh (0.7981, 0.7981, 0.9571)
Rh (0.8552, 0.0832, 0.2952)
Rh (0.9168, 0.1448, 0.7048)

Summary:
M_tot	0.00	μB per atom
formation energy from the elements	-429	meV per atom
calculated total energy	-7.938	eV/atom

***

- Which formula does entry 6 have?
  Th2ZrRh

***

- The highest formation energy from the elements belongs to which entry?
  Th2ZrRh